(1)
DFT (PBE-GGA) results for an optimized crystal structure of AlTl2BiO4. Values from VASP.

Summary:
- Uncorrected formation energy: -1496 meV per atom
- Total magnetic moment: 0.00 Bohr magnetons per cell
- N(E_F): 0.0 states/eV per cell

Cell and atoms, written as Quantum ESPRESSO input:
```
&SYSTEM
  ibrav = 0, nat = 16, ntyp = 4
/
ATOMIC_SPECIES
Al 26.98 Al.upf
Tl 204.38 Tl.upf
Bi 208.98 Bi.upf
O 16.00 O.upf
ATOMIC_POSITIONS crystal
Al 0.4994 0.9084 0.5000
Al 0.9994 0.0916 0.0000
Tl 0.4875 0.3108 0.2199
Tl 0.4875 0.3108 0.7801
Tl 0.9875 0.6892 0.7199
Tl 0.9875 0.6892 0.2801
Bi 0.9810 0.1614 0.5000
Bi 0.4810 0.8386 0.0000
O 0.3450 0.0812 0.0000
O 0.8450 0.9188 0.5000
O 0.3897 0.1161 0.5000
O 0.8897 0.8839 0.0000
O 0.4050 0.8136 0.6981
O 0.9050 0.1864 0.1981
O 0.9050 0.1864 0.8019
O 0.4050 0.8136 0.3019
CELL_PARAMETERS angstrom
5.2706 0.0000 0.0000
0.0000 8.3099 0.0000
0.0000 0.0000 7.5755
```

---

(2)
DFT (PBE-GGA) results for an optimized crystal structure of Tm2AlBiO6. Values from VASP.

Summary:
- Uncorrected formation energy: -2560 meV per atom
- Total magnetic moment: 0.00 Bohr magnetons per cell
- N(E_F): 0.0 states/eV per cell

Cell and atoms, written as Quantum ESPRESSO input:
```
&SYSTEM
  ibrav = 0, nat = 10, ntyp = 4
/
ATOMIC_SPECIES
Tm 168.93 Tm.upf
Al 26.98 Al.upf
Bi 208.98 Bi.upf
O 16.00 O.upf
ATOMIC_POSITIONS crystal
Tm 0.9726 0.5000 0.0000
Tm 0.9726 0.0000 0.5000
Al 0.6031 0.0000 0.0000
Bi 0.5398 0.5000 0.5000
O 0.7450 0.2327 0.2327
O 0.7450 0.2327 0.7673
O 0.1133 0.5000 0.5000
O 0.2652 0.0000 0.0000
O 0.7450 0.7673 0.7673
O 0.7450 0.7673 0.2327
CELL_PARAMETERS angstrom
5.3267 0.0000 0.0000
0.0000 5.2349 0.0000
0.0000 0.0000 5.2349
```

---

(3)
DFT (PBE-GGA) results for an optimized crystal structure of UAlBiO6. Values from VASP.

Summary:
- Uncorrected formation energy: -2510 meV per atom
- Total magnetic moment: 0.00 Bohr magnetons per cell
- N(E_F): 0.0 states/eV per cell

Cell and atoms, written as Quantum ESPRESSO input:
```
&SYSTEM
  ibrav = 0, nat = 18, ntyp = 4
/
ATOMIC_SPECIES
U 238.03 U.upf
Al 26.98 Al.upf
Bi 208.98 Bi.upf
O 16.00 O.upf
ATOMIC_POSITIONS crystal
U 0.6667 0.3333 0.2500
U 0.3333 0.6667 0.7500
Al 0.3333 0.6667 0.2500
Al 0.6667 0.3333 0.7500
Bi 0.0000 0.0000 0.0000
Bi 0.0000 0.0000 0.5000
O 0.6270 0.6483 0.1426
O 0.0214 0.3730 0.1426
O 0.3730 0.0214 0.6426
O 0.9786 0.6270 0.8574
O 0.3517 0.3730 0.3574
O 0.0214 0.6483 0.3574
O 0.6483 0.0214 0.8574
O 0.6270 0.9786 0.3574
O 0.9786 0.3517 0.6426
O 0.3517 0.9786 0.1426
O 0.6483 0.6270 0.6426
O 0.3730 0.3517 0.8574
CELL_PARAMETERS angstrom
5.3455 0.0000 0.0000
-2.6727 4.6293 0.0000
0.0000 0.0000 9.9849
```